# ZrMn2Cl

A geometry-optimized ZrMn2Cl structure (PBE-GGA, Alexandria via LeMat-Bulk).

## Properties
- Spin magnetization: 6.43 μB/f.u.
- Formation energy from raw total energies: 0.221 eV per atom
- Space-group type: C2/m (12)

```
4
Lattice="-2.058 1.962 -4.968 2.257 -5.219 0.657 -2.236 -1.916 -0.730" Properties=species:S:1:pos:R:3 pbc="T T T"
Cl 0.010 -3.567 -0.037
Mn 0.000 0.000 0.000
Mn 0.100 -1.628 -2.155
Zr -2.147 0.023 -2.849
```